No. 1
This record from Alexandria describes crystalline DyNbO4 at its relaxed geometry. The functional is PBE-GGA.

abc: 5.154 5.492 5.367
angles: 90.00 95.79 90.00
Space group P2/c (No. 13)
Unique sites:
Dy  0.000  0.241  0.250 [2 per cell]
Nb  0.500  0.296  0.750 [2 per cell]
O  0.251  0.078  0.595 [4 per cell]
O  0.262  0.441  0.981 [4 per cell]

Results
Final energy: -8.858 eV/atom
Mass density: 7.02 Mg/m³
Formation energy (no corrections): -3.107 eV per atom

No. 2
This record from Alexandria describes crystalline Ca2MgAl12Ni3 at its relaxed geometry. The functional is PBE-GGA.

abc: 8.6164 8.6164 17.9918
angles: 90.00 90.00 120.00
Space group R-3m (No. 166, hexagonal axes)
Unique sites:
Ca  0.0000  0.0000  0.0904 [6 per cell]
Mg  0.0000  0.0000  0.5000 [3 per cell]
Al  0.0300  0.5150  0.8724 [18 per cell]
Al  0.0847  0.5423  0.3068 [18 per cell]
Ni  0.0000  0.5000  0.0000 [9 per cell]

Results
Final energy: -3.719 eV/atom
Mass density: 2.60 Mg/m³

Repeat the second record exactly.
This record from Alexandria describes crystalline Ca2MgAl12Ni3 at its relaxed geometry. The functional is PBE-GGA.

abc: 8.6164 8.6164 17.9918
angles: 90.00 90.00 120.00
Space group R-3m (No. 166, hexagonal axes)
Unique sites:
Ca  0.0000  0.0000  0.0904 [6 per cell]
Mg  0.0000  0.0000  0.5000 [3 per cell]
Al  0.0300  0.5150  0.8724 [18 per cell]
Al  0.0847  0.5423  0.3068 [18 per cell]
Ni  0.0000  0.5000  0.0000 [9 per cell]

Results
Final energy: -3.719 eV/atom
Mass density: 2.60 Mg/m³

Q: Among the records above, which one has the highest mass density?
A: DyNbO4